DFT (PBE-GGA) results for K2Zn2O3 after structural relaxation.

## Properties
Crystal system ... monoclinic
Energy ... -4.16 eV per atom
Relative energy among the computed polymorphs ... 4 meV/atom
Energy relative to the elements, uncorrected ... -1.358 eV/atom

a = 11.496 Å, b = 3.446 Å, c = 6.745 Å
α = 90.00°, β = 123.45°, γ = 90.00°
Space group C2/m (No. 12)
Symmetry-distinct sites (fractional):
K (0.068, 0.000, 0.348) x4
Zn (0.188, 0.500, 0.075) x4
O (0.000, 0.500, 0.000) x2
O (0.202, 0.500, 0.774) x4

---

DFT (PBE-GGA) results for K2Zn3O4 after structural relaxation.

## Properties
Crystal system ... monoclinic
Energy ... -4.27 eV per atom
Energy relative to the elements, uncorrected ... -1.400 eV/atom

a = 15.034 Å, b = 6.477 Å, c = 5.832 Å
α = 90.00°, β = 103.24°, γ = 90.00°
Space group C2/c (No. 15)
Symmetry-distinct sites (fractional):
K (0.119, 0.126, 0.488) x8
Zn (0.000, 0.480, 0.750) x4
Zn (0.191, 0.382, 0.085) x8
O (0.058, 0.323, 0.045) x8
O (0.236, 0.379, 0.787) x8

---

DFT (PBE-GGA) results for K6ZnO4 after structural relaxation.

## Properties
Crystal system ... hexagonal
Energy ... -3.69 eV per atom
Energy relative to the elements, uncorrected ... -1.169 eV/atom

a = 8.5890 Å, b = 8.5890 Å, c = 6.6576 Å
α = 90.00°, β = 90.00°, γ = 120.00°
Space group P6_3mc (No. 186)
Symmetry-distinct sites (fractional):
K (0.0718, 0.5359, 0.0000) x6
K (0.1454, 0.2907, 0.3324) x6
Zn (0.3333, 0.6667, 0.6102) x2
O (0.2001, 0.4002, 0.7117) x6
O (0.3333, 0.6667, 0.3025) x2

---

DFT (PBE-GGA) results for K3ZrZn2O6 after structural relaxation.

## Properties
Crystal system ... monoclinic
Energy ... -5.40 eV per atom
Energy relative to the elements, uncorrected ... -1.724 eV/atom

a = 5.537 Å, b = 9.884 Å, c = 6.395 Å
α = 90.00°, β = 105.86°, γ = 90.00°
Space group C2/m (No. 12)
Symmetry-distinct sites (fractional):
K (0.000, 0.000, 0.000) x2
K (0.000, 0.326, 0.000) x4
Zr (0.000, 0.500, 0.500) x2
Zn (0.000, 0.165, 0.500) x4
O (0.233, 0.339, 0.678) x8
O (0.242, 0.000, 0.692) x4

---

DFT (PBE-GGA) results for K2ZrZnO4 after structural relaxation.

## Properties
Crystal system ... tetragonal
Energy ... -5.94 eV per atom
Energy relative to the elements, uncorrected ... -1.958 eV/atom

a = 6.755 Å, b = 6.755 Å, c = 5.716 Å
α = 90.00°, β = 90.00°, γ = 90.00°
Space group I-42m (No. 121)
Symmetry-distinct sites (fractional):
K (0.000, 0.500, 0.000) x4
Zr (0.000, 0.000, 0.000) x2
Zn (0.000, 0.000, 0.500) x2
O (0.152, 0.152, 0.244) x8

---

DFT (PBE-GGA) results for KZr3O after structural relaxation.

## Properties
Crystal system ... cubic
Energy ... -6.58 eV per atom
Relative energy among the computed polymorphs ... 0 meV/atom
Energy relative to the elements, uncorrected ... -0.240 eV/atom

a = 4.692 Å, b = 4.692 Å, c = 4.692 Å
α = 90.00°, β = 90.00°, γ = 90.00°
Space group Pm-3m (No. 221)
Symmetry-distinct sites (fractional):
K (0.000, 0.000, 0.000) x1
Zr (0.000, 0.500, 0.500) x3
O (0.500, 0.500, 0.500) x1

---

DFT (PBE-GGA) results for K6ZrO4 after structural relaxation.

## Properties
Crystal system ... hexagonal
Energy ... -4.74 eV per atom
Energy relative to the elements, uncorrected ... -1.560 eV/atom

a = 12.5819 Å, b = 12.5819 Å, c = 6.2953 Å
α = 90.00°, β = 90.00°, γ = 120.00°
Space group P6_3mc (No. 186)
Symmetry-distinct sites (fractional):
K (0.1427, 0.5713, 0.0000) x6
K (0.1450, 0.2901, 0.4244) x6
Zr (0.3333, 0.6667, 0.4335) x2
O (0.2504, 0.5009, 0.2961) x6
O (0.3333, 0.6667, 0.7522) x2

---

DFT (PBE-GGA) results for KZrO2 after structural relaxation.

## Properties
Crystal system ... tetragonal
Energy ... -7.13 eV per atom
Energy relative to the elements, uncorrected ... -2.242 eV/atom

a = 5.601 Å, b = 5.601 Å, c = 10.867 Å
α = 90.00°, β = 90.00°, γ = 90.00°
Space group I-42d (No. 122)
Symmetry-distinct sites (fractional):
K (0.000, 0.000, 0.000) x4
Zr (0.000, 0.000, 0.500) x4
O (0.109, 0.250, 0.625) x8

---

DFT (PBE-GGA) results for K4Zr5O12 after structural relaxation.

## Properties
Crystal system ... trigonal
Energy ... -7.95 eV per atom
Energy relative to the elements, uncorrected ... -2.871 eV/atom

a = 5.9018 Å, b = 5.9018 Å, c = 10.5993 Å
α = 90.00°, β = 90.00°, γ = 120.00°
Space group P-3m1 (No. 164)
Symmetry-distinct sites (fractional):
K (0.0000, 0.0000, 0.1793) x2
K (0.3333, 0.6667, 0.3881) x2
Zr (0.0000, 0.0000, 0.5000) x1
Zr (0.3333, 0.6667, 0.0242) x2
Zr (0.3333, 0.6667, 0.7169) x2
O (0.0193, 0.5096, 0.8776) x6
O (0.1650, 0.3301, 0.6213) x6

---

DFT (PBE-GGA) results for K5Zr2O6 after structural relaxation.

## Properties
Crystal system ... monoclinic
Energy ... -6.14 eV per atom
Energy relative to the elements, uncorrected ... -2.111 eV/atom

a = 11.643 Å, b = 8.284 Å, c = 13.356 Å
α = 90.00°, β = 96.45°, γ = 90.00°
Space group C2/c (No. 15)
Symmetry-distinct sites (fractional):
K (0.000, 0.135, 0.250) x4
K (0.107, 0.479, 0.656) x8
K (0.110, 0.184, 0.872) x8
Zr (0.246, 0.127, 0.589) x8
O (0.117, 0.488, 0.352) x8
O (0.119, 0.124, 0.673) x8
O (0.209, 0.133, 0.430) x8

---

DFT (PBE-GGA) results for KZrO2 after structural relaxation.

## Properties
Crystal system ... cubic
Energy ... -6.27 eV per atom
Energy relative to the elements, uncorrected ... -1.378 eV/atom

a = 5.844 Å, b = 5.844 Å, c = 5.844 Å
α = 90.00°, β = 90.00°, γ = 90.00°
Space group Fm-3m (No. 225)
Symmetry-distinct sites (fractional):
K (0.000, 0.000, 0.000) x4
Zr (0.000, 0.000, 0.500) x4
O (0.250, 0.250, 0.250) x8

---

DFT (PBE-GGA) results for KZrO2 after structural relaxation.

## Properties
Crystal system ... trigonal
Energy ... -7.21 eV per atom
Energy relative to the elements, uncorrected ... -2.319 eV/atom

a = 3.2455 Å, b = 3.2455 Å, c = 19.3479 Å
α = 90.00°, β = 90.00°, γ = 120.00°
Space group R3m (No. 160, hexagonal axes)
Symmetry-distinct sites (fractional):
K (0.0000, 0.0000, 0.0000) x3
Zr (0.0000, 0.0000, 0.1714) x3
O (0.0000, 0.0000, 0.5689) x3
O (0.0000, 0.0000, 0.7737) x3

---

DFT (PBE-GGA) results for KZrO2 after structural relaxation.

## Properties
Crystal system ... tetragonal
Energy ... -6.96 eV per atom
Energy relative to the elements, uncorrected ... -2.069 eV/atom

a = 2.865 Å, b = 2.865 Å, c = 6.468 Å
α = 90.00°, β = 90.00°, γ = 90.00°
Space group P4/mmm (No. 123)
Symmetry-distinct sites (fractional):
K (0.000, 0.000, 0.000) x1
Zr (0.000, 0.000, 0.500) x1
O (0.500, 0.500, 0.307) x2

---

DFT (PBE-GGA) results for KZr3O after structural relaxation.

## Properties
Crystal system ... cubic
Energy ... -3.98 eV per atom
Relative energy among the computed polymorphs ... 2601 meV/atom
Energy relative to the elements, uncorrected ... 2.361 eV/atom

a = 4.869 Å, b = 4.869 Å, c = 4.869 Å
α = 90.00°, β = 90.00°, γ = 90.00°
Space group Pm-3m (No. 221)
Symmetry-distinct sites (fractional):
K (0.000, 0.000, 0.000) x1
Zr (0.000, 0.000, 0.500) x3
O (0.500, 0.500, 0.500) x1

---

DFT (PBE-GGA) results for K14Zr2O9 after structural relaxation.

## Properties
Crystal system ... trigonal
Energy ... -4.52 eV per atom
Energy relative to the elements, uncorrected ... -1.434 eV/atom

a = 8.5149 Å, b = 8.5149 Å, c = 10.4338 Å
α = 90.00°, β = 90.00°, γ = 120.00°
Space group P-3 (No. 147)
Symmetry-distinct sites (fractional):
K (0.0000, 0.0000, 0.2431) x2
K (0.0583, 0.3811, 0.5877) x6
K (0.0582, 0.6819, 0.9065) x6
Zr (0.3333, 0.6667, 0.2602) x2
O (0.0000, 0.0000, 0.0000) x1
O (0.1339, 0.4278, 0.3272) x6
O (0.3333, 0.6667, 0.0668) x2

---

DFT (PBE-GGA) results for K8ZrO6 after structural relaxation.

## Properties
Crystal system ... orthorhombic
Energy ... -4.69 eV per atom
Energy relative to the elements, uncorrected ... -1.548 eV/atom

a = 7.661 Å, b = 8.078 Å, c = 10.856 Å
α = 90.00°, β = 90.00°, γ = 90.00°
Space group Pmn2_1 (No. 31)
Symmetry-distinct sites (fractional):
K (0.000, 0.167, 0.000) x2
K (0.000, 0.175, 0.460) x2
K (0.198, 0.662, 0.110) x4
K (0.206, 0.596, 0.795) x4
K (0.221, 0.973, 0.759) x4
Zr (0.000, 0.706, 0.462) x2
O (0.000, 0.240, 0.235) x2
O (0.000, 0.490, 0.561) x2
O (0.000, 0.795, 0.936) x2
O (0.000, 0.899, 0.578) x2
O (0.211, 0.719, 0.353) x4

---

DFT (PBE-GGA) results for KZrO3 after structural relaxation.

## Properties
Crystal system ... cubic
Energy ... -7.29 eV per atom
Energy relative to the elements, uncorrected ... -2.382 eV/atom

a = 4.241 Å, b = 4.241 Å, c = 4.241 Å
α = 90.00°, β = 90.00°, γ = 90.00°
Space group Pm-3m (No. 221)
Symmetry-distinct sites (fractional):
K (0.000, 0.000, 0.000) x1
Zr (0.500, 0.500, 0.500) x1
O (0.000, 0.500, 0.500) x3

---

DFT (PBE-GGA) results for K3ZrO after structural relaxation.

## Properties
Crystal system ... cubic
Energy ... -2.11 eV per atom
Relative energy among the computed polymorphs ... 918 meV/atom
Energy relative to the elements, uncorrected ... 1.254 eV/atom

a = 6.768 Å, b = 6.768 Å, c = 6.768 Å
α = 90.00°, β = 90.00°, γ = 90.00°
Space group Pm-3m (No. 221)
Symmetry-distinct sites (fractional):
K (0.000, 0.000, 0.500) x3
Zr (0.000, 0.000, 0.000) x1
O (0.500, 0.500, 0.500) x1

---

DFT (PBE-GGA) results for K4ZrO4 after structural relaxation.

## Properties
Crystal system ... triclinic
Energy ... -5.69 eV per atom
Energy relative to the elements, uncorrected ... -2.053 eV/atom

a = 6.616 Å, b = 6.645 Å, c = 9.982 Å
α = 80.94°, β = 71.61°, γ = 67.52°
Space group P-1 (No. 2)
Symmetry-distinct sites (fractional):
K (0.019, 0.267, 0.439) x2
K (0.108, 0.726, 0.176) x2
K (0.259, 0.239, 0.016) x2
K (0.453, 0.232, 0.609) x2
Zr (0.343, 0.722, 0.756) x2
O (0.152, 0.534, 0.805) x2
O (0.206, 0.966, 0.629) x2
O (0.345, 0.458, 0.359) x2
O (0.350, 0.845, 0.925) x2

---

DFT (PBE-GGA) results for K3ZrO after structural relaxation.

## Properties
Crystal system ... cubic
Energy ... -3.02 eV per atom
Relative energy among the computed polymorphs ... 0 meV/atom
Energy relative to the elements, uncorrected ... 0.336 eV/atom

a = 5.556 Å, b = 5.556 Å, c = 5.556 Å
α = 90.00°, β = 90.00°, γ = 90.00°
Space group Pm-3m (No. 221)
Symmetry-distinct sites (fractional):
K (0.000, 0.000, 0.500) x3
Zr (0.500, 0.500, 0.500) x1
O (0.000, 0.000, 0.000) x1